Entry 1:
# TiCo4Os

Crystalline TiCo4Os at its relaxed geometry (GGA-PBE, Alexandria).

Lattice parameters (Å, degrees): 4.6937 4.6937 4.6937 60.00 60.00 60.00
Closest atoms and distances in Å follow each position.
Fractional coordinates of all 6 atoms:
Ti: 0.2500 0.2500 0.2500  12 Co 2.75, 4 Os 2.87
Co: 0.1254 0.6249 0.6249  6 Co 2.34-2.35
Co: 0.6249 0.1254 0.6249  6 Co 2.34-2.35
Co: 0.6249 0.6249 0.6249  6 Co 2.34-2.35
Co: 0.6249 0.6249 0.1254  6 Co 2.34-2.35
Os: 0.0000 0.0000 0.0000  12 Co 2.75, 4 Ti 2.87

Calculated values
symmetry	F-43m, No. 216
total DFT energy (no corrections)	-48.21	eV for the cell shown



Entry 2:
# NdNbPb2O6

Crystalline NdNbPb2O6 at its relaxed geometry (GGA-PBE, Alexandria).

Lattice parameters (Å, degrees): 5.9578 6.0830 8.5169 90.00 89.87 90.00
Closest atoms and distances in Å follow each position.
Fractional coordinates of all 20 atoms:
O: 0.7216 0.3176 0.9526  1 Nb 2.04
O: 0.6753 0.2800 0.5486  1 Nb 2.04
O: 0.4048 0.9744 0.7294  1 Nb 2.04
O: 0.7784 0.8176 0.5474  1 Nb 2.04
O: 0.8247 0.7800 0.9514  1 Nb 2.04
O: 0.1753 0.2200 0.0486  1 Nb 2.04
O: 0.9048 0.5256 0.2294  1 Nb 2.04
O: 0.5952 0.0256 0.2706  1 Nb 2.04
O: 0.0952 0.4744 0.7706  1 Nb 2.04
O: 0.3247 0.7200 0.4514  1 Nb 2.04
O: 0.2216 0.1824 0.4526  1 Nb 2.04
O: 0.2784 0.6824 0.0474  1 Nb 2.04
Nb: 0.5000 0.0000 0.5000  6 O 2.04
Nb: 0.0000 0.5000 0.0000  6 O 2.04
Nd: 0.5000 0.0000 0.0000  6 O 2.37-2.39
Nd: 0.0000 0.5000 0.5000  6 O 2.37-2.39
Pb: 0.4932 0.4684 0.2500  4 O 2.48-2.77
Pb: 0.9932 0.0316 0.7500  4 O 2.48-2.77
Pb: 0.0068 0.9684 0.2500  4 O 2.48-2.77
Pb: 0.5068 0.5316 0.7500  4 O 2.48-2.77

Calculated values
symmetry	P2_1/c, No. 14
total DFT energy (no corrections)	-147.74	eV for the cell shown



Entry 3:
# P2HSeS

Crystalline P2HSeS at its relaxed geometry (GGA-PBE, Alexandria).

Lattice parameters (Å, degrees): 4.8664 4.8664 4.8907 90.00 90.00 90.00
Closest atoms and distances in Å follow each position.
Fractional coordinates of all 5 atoms:
S: 0.0000 0.0000 0.5000  2 Se 2.45
P: 0.0000 0.5000 0.0000  2 Se 2.43
P: 0.5000 0.0000 0.0000  2 Se 2.43
Se: 0.0000 0.0000 0.0000  4 P 2.43, 2 S 2.45
H: 0.5000 0.5000 0.5000  4 S 3.44, 8 P 3.45

Calculated values
symmetry	P4/mmm, No. 123
total DFT energy (no corrections)	-14.02	eV for the cell shown



Entry 4:
# YTm4Ru5

Crystalline YTm4Ru5 at its relaxed geometry (GGA-PBE, Alexandria).

Lattice parameters (Å, degrees): 3.3682 3.3682 16.8160 90.00 90.00 90.00
Closest atoms and distances in Å follow each position.
Fractional coordinates of all 10 atoms:
Ru: 0.5000 0.5000 0.5000  8 Tm 2.91
Ru: 0.5000 0.5000 0.3013  8 Tm 2.91
Ru: 0.5000 0.5000 0.6987  8 Tm 2.91
Ru: 0.5000 0.5000 0.8965  4 Tm 2.90, 4 Y 2.95
Ru: 0.5000 0.5000 0.1035  4 Tm 2.90, 4 Y 2.95
Tm: 0.0000 0.0000 0.2019  8 Ru 2.90-2.91
Tm: 0.0000 0.0000 0.5994  8 Ru 2.91
Tm: 0.0000 0.0000 0.4006  8 Ru 2.91
Tm: 0.0000 0.0000 0.7981  8 Ru 2.90-2.91
Y: 0.0000 0.0000 0.0000  8 Ru 2.95

Calculated values
symmetry	P4/mmm, No. 123
total DFT energy (no corrections)	-74.60	eV for the cell shown



Entry 5:
# Al4GePd10

Crystalline Al4GePd10 at its relaxed geometry (GGA-PBE, Alexandria).

Lattice parameters (Å, degrees): 4.0954 4.0954 17.2335 83.18 83.18 60.00
Closest atoms and distances in Å follow each position.
Fractional coordinates of all 15 atoms:
Al: 0.1999 0.1999 0.4002  8 Pd 2.52-2.55
Al: 0.4004 0.4004 0.7987  8 Pd 2.51-2.57
Al: 0.8001 0.8001 0.5998  8 Pd 2.52-2.55
Al: 0.5996 0.5996 0.2013  8 Pd 2.51-2.57
Pd: 0.9504 0.9504 0.1488  3 Al 2.53, 1 Ge 2.54
Pd: 0.3502 0.3502 0.9493  3 Ge 2.52, 1 Al 2.57
Pd: 0.7502 0.7502 0.7493  4 Al 2.51-2.55
Pd: 0.8497 0.8497 0.4508  4 Al 2.52-2.54
Pd: 0.5502 0.5502 0.3494  4 Al 2.52-2.53
Pd: 0.2498 0.2498 0.2507  4 Al 2.51-2.55
Pd: 0.6498 0.6498 0.0507  3 Ge 2.52, 1 Al 2.57
Pd: 0.1503 0.1503 0.5492  4 Al 2.52-2.54
Pd: 0.4498 0.4498 0.6506  4 Al 2.52-2.53
Pd: 0.0496 0.0496 0.8512  3 Al 2.53, 1 Ge 2.54
Ge: 0.0000 0.0000 0.0000  8 Pd 2.52-2.54

Calculated values
symmetry	R-3m, No. 166
total DFT energy (no corrections)	-81.10	eV for the cell shown



Entry 6:
# KCd2BiAu

Crystalline KCd2BiAu at its relaxed geometry (GGA-PBE, Alexandria).

Lattice parameters (Å, degrees): 5.7037 6.9540 5.7037 90.00 90.00 90.00
Closest atoms and distances in Å follow each position.
Fractional coordinates of all 5 atoms:
Au: 0.5000 0.5000 0.5000  4 K 4.03, 8 Cd 4.50
Cd: 0.0000 0.0000 0.5000  2 Bi 2.85
Cd: 0.5000 0.0000 0.0000  2 Bi 2.85
K: 0.0000 0.5000 0.0000  2 Bi 3.48
Bi: 0.0000 0.0000 0.0000  4 Cd 2.85

Calculated values
symmetry	P4/mmm, No. 123
total DFT energy (no corrections)	-8.76	eV for the cell shown



Entry 7:
# Y3BiP2

Crystalline Y3BiP2 at its relaxed geometry (GGA-PBE, Alexandria).

Lattice parameters (Å, degrees): 4.9800 6.7431 9.8229 90.00 90.00 111.67
Closest atoms and distances in Å follow each position.
Fractional coordinates of all 12 atoms:
P: 0.4713 0.9426 0.2500  4 Y 2.61-2.75
P: 0.0000 0.0000 0.5000  6 Y 2.71-2.97
P: 0.0000 0.0000 0.0000  6 Y 2.71-2.97
P: 0.5287 0.0574 0.7500  4 Y 2.61-2.75
Y: 0.9078 0.8156 0.2500  4 P 2.61-2.71
Y: 0.3765 0.7530 0.5478  3 P 2.75-2.97
Y: 0.6235 0.2470 0.0478  3 P 2.75-2.97
Y: 0.3765 0.7530 0.9522  3 P 2.75-2.97
Y: 0.0922 0.1844 0.7500  4 P 2.61-2.71
Y: 0.6235 0.2470 0.4522  3 P 2.75-2.97
Bi: 0.2207 0.4414 0.2500  1 P 3.14, 8 Y 3.41-3.52
Bi: 0.7793 0.5586 0.7500  1 P 3.14, 8 Y 3.41-3.52

Calculated values
symmetry	Cmcm, No. 63
total DFT energy (no corrections)	-79.94	eV for the cell shown



Entry 8:
# Be4BRu

Crystalline Be4BRu at its relaxed geometry (GGA-PBE, Alexandria).

Lattice parameters (Å, degrees): 4.1263 4.1263 4.1263 60.00 60.00 60.00
Closest atoms and distances in Å follow each position.
Fractional coordinates of all 6 atoms:
Be: 0.6252 0.1245 0.6252  6 Be 2.06-2.07
Be: 0.1245 0.6252 0.6252  6 Be 2.06-2.07
Be: 0.6252 0.6252 0.6252  6 Be 2.06-2.07
Be: 0.6252 0.6252 0.1245  6 Be 2.06-2.07
Ru: 0.0000 0.0000 0.0000  12 Be 2.42, 4 B 2.53
B: 0.2500 0.2500 0.2500  12 Be 2.42, 4 Ru 2.53

Calculated values
symmetry	F-43m, No. 216
total DFT energy (no corrections)	-30.64	eV for the cell shown



It is found that the DOS at the Fermi energy values, taken in the order of the records, are 5.85 0.00 4.94 13.65 2.88 1.74 2.68 4.02 states/eV/f.u..